Run P
4
Lattice="3.4091 0.0000 0.0000 0.0000 3.4091 0.0000 0.0000 0.0000 5.4131" Properties=species:S:1:pos:R:3 comment="IrPt2W PBE relaxed" density_g_cm3=20.22 pbc="T T T"
Ir 0.0000 0.0000 0.0000
Pt 1.7046 1.7046 1.3514
Pt 1.7046 1.7046 4.0616
W 0.0000 0.0000 2.7065

Run Q
4
Lattice="1.3912 0.8032 9.2025 -1.3912 0.8032 9.2025 0.0000 -1.6064 9.2025" Properties=species:S:1:pos:R:3 comment="IrPt2W PBE relaxed" density_g_cm3=20.62 pbc="T T T"
Ir 0.0000 0.0000 0.0000
Pt 0.0000 0.0000 6.8544
Pt 0.0000 0.0000 20.7529
W 0.0000 0.0000 13.8037

Run R
4
Lattice="3.3678 0.0000 0.0000 0.0000 3.3678 0.0000 0.0000 0.0000 5.5525" Properties=species:S:1:pos:R:3 comment="IrPt2W PBE relaxed" density_g_cm3=20.20 pbc="T T T"
Ir 0.0000 0.0000 0.0000
Pt 0.0000 0.0000 2.8387
Pt 1.6839 1.6839 1.4231
W 1.6839 1.6839 4.3094

Run S
4
Lattice="-1.9462 1.9462 4.0473 1.9462 -1.9462 4.0473 1.9462 1.9462 -4.0473" Properties=species:S:1:pos:R:3 comment="IrPt2W PBE relaxed" density_g_cm3=20.75 pbc="T T T"
Ir 0.0000 0.0000 0.0000
Pt 1.9462 0.0000 2.0237
Pt 0.0000 1.9462 2.0237
W 0.0000 0.0000 4.0473

Computed relative energies in units of kJ/mol of atoms: run P 24.0; run Q 13.6; run R 11.8; run S 0.0

Run P
8
Lattice="-3.5743 3.5743 2.6657 3.5743 -3.5743 2.6657 3.5743 3.5743 -2.6657" Properties=species:S:1:pos:R:3 comment="IrPt2W PBE relaxed" density_g_cm3=18.68 pbc="T T T"
Ir 0.0000 0.0000 0.0000
Ir 0.0000 3.5743 1.3329
Pt 1.7871 -1.6919 1.9993
Pt 1.8824 1.7871 0.6664
Pt 1.7871 5.2662 -0.6664
Pt 1.6919 1.7871 3.3322
W 3.5743 0.0000 1.3329
W 0.0000 0.0000 2.6657

Run Q
4
Lattice="0.0000 3.1519 3.1519 3.1519 0.0000 3.1519 3.1519 3.1519 0.0000" Properties=species:S:1:pos:R:3 comment="IrPt2W PBE relaxed" density_g_cm3=20.32 pbc="T T T"
Ir 0.0000 0.0000 0.0000
Pt 1.5759 1.5759 1.5759
Pt 4.7278 4.7278 4.7278
W 3.1519 3.1519 3.1519

Computed relative energies in units of kJ/mol of atoms: run P 25.1; run Q 0.0

Run P
5
Lattice="4.7576 0.0000 0.0000 0.0000 4.7576 0.0000 0.0000 0.0000 4.7576" Properties=species:S:1:pos:R:3 comment="IrPt3W PBE relaxed" density_g_cm3=14.82 pbc="T T T"
Ir 0.0000 0.0000 0.0000
Pt 0.0000 2.3788 2.3788
Pt 2.3788 0.0000 2.3788
Pt 2.3788 2.3788 0.0000
W 2.3788 2.3788 2.3788

Run Q
5
Lattice="4.7838 0.0000 0.0000 0.0000 4.7838 0.0000 0.0000 0.0000 4.7838" Properties=species:S:1:pos:R:3 comment="IrPt3W PBE relaxed" density_g_cm3=14.58 pbc="T T T"
Ir 0.0000 0.0000 0.0000
Pt 0.0000 0.0000 2.3919
Pt 0.0000 2.3919 0.0000
Pt 2.3919 0.0000 0.0000
W 2.3919 2.3919 2.3919

Computed relative energies in units of kJ/mol of atoms: run P 0.0; run Q 20.5

Run P
8
Lattice="-1.9353 1.9353 9.0887 1.9353 -1.9353 9.0887 1.9353 1.9353 -9.0887" Properties=species:S:1:pos:R:3 comment="IrPtW2 PBE relaxed" density_g_cm3=18.41 pbc="T T T"
Ir 0.0000 0.0000 0.0000
Ir 0.0000 1.9353 4.5443
Pt 1.9353 0.0000 4.5443
Pt 0.0000 0.0000 9.0887
W 2.9030 0.9479 -2.2722
W 0.9479 0.9677 2.2722
W -0.9677 0.9874 6.8165
W 0.9874 0.9677 11.3609

Run Q
4
Lattice="2.7571 -4.0400 0.0000 2.7571 4.0400 0.0000 0.0000 0.0000 2.7588" Properties=species:S:1:pos:R:3 comment="IrPtW2 PBE relaxed" density_g_cm3=20.40 pbc="T T T"
Ir 0.0000 0.0000 0.0000
Pt 2.7571 0.0000 0.0000
W 1.3786 2.0200 1.3794
W 1.3786 -2.0200 1.3794

Computed relative energies in units of kJ/mol of atoms: run P 71.3; run Q 0.0

Run P
5
Lattice="4.7025 0.0000 0.0000 0.0000 4.7025 0.0000 0.0000 0.0000 4.7025" Properties=species:S:1:pos:R:3 comment="IrPtW3 PBE relaxed" density_g_cm3=14.99 pbc="T T T"
Ir 0.0000 0.0000 0.0000
Pt 2.3512 2.3512 2.3512
W 0.0000 2.3512 2.3512
W 2.3512 0.0000 2.3512
W 2.3512 2.3512 0.0000

Run Q
5
Lattice="4.6972 0.0000 0.0000 0.0000 4.6972 0.0000 0.0000 0.0000 4.6972" Properties=species:S:1:pos:R:3 comment="IrPtW3 PBE relaxed" density_g_cm3=15.04 pbc="T T T"
Ir 0.0000 0.0000 0.0000
Pt 2.3486 2.3486 2.3486
W 0.0000 0.0000 2.3486
W 0.0000 2.3486 0.0000
W 2.3486 0.0000 0.0000

Computed relative energies in units of kJ/mol of atoms: run P 39.3; run Q 0.0

Run P
3
Lattice="4.2261 0.0000 0.0000 0.0000 2.7335 0.0000 -1.0068 0.0000 4.4342" Properties=species:S:1:pos:R:3 comment="ZnIrPt PBE relaxed" density_g_cm3=14.68 pbc="T T T"
Zn 0.0000 0.0000 0.0000
Ir 2.0831 1.3667 0.6812
Pt 1.2137 0.0000 2.7601

Run Q
3
Lattice="-1.3820 2.2542 3.8030 1.3820 -2.2542 3.8030 1.3820 2.2542 -3.8030" Properties=species:S:1:pos:R:3 comment="ZnIrPt PBE relaxed" density_g_cm3=15.86 pbc="T T T"
Zn 0.0000 0.0000 0.0000
Ir 1.3820 0.0000 2.1855
Pt 0.0000 2.2542 1.5900

Computed relative energies in units of kJ/mol of atoms: run P 1.8; run Q 0.0

Run P
3
Lattice="-1.3702 1.9143 4.2360 1.3702 -1.9143 4.2360 1.3702 1.9143 -4.2360" Properties=species:S:1:pos:R:3 comment="ZnIrPt PBE relaxed" density_g_cm3=16.91 pbc="T T T"
Zn 0.0000 0.0000 0.0000
Ir 0.0000 0.0000 2.8886
Pt 0.0000 0.0000 5.6309

Run Q
3
Lattice="0.0000 2.3678 6.8038 1.3896 0.0000 6.8038 1.3896 2.3678 0.0000" Properties=species:S:1:pos:R:3 comment="ZnIrPt PBE relaxed" density_g_cm3=16.79 pbc="T T T"
Zn 0.0000 0.0000 0.0000
Ir 1.3896 2.3678 8.9700
Pt 1.3896 2.3678 4.5938

Run R
3
Lattice="-1.3835 1.3835 5.7548 1.3835 -1.3835 5.7548 1.3835 1.3835 -5.7548" Properties=species:S:1:pos:R:3 comment="ZnIrPt PBE relaxed" density_g_cm3=17.06 pbc="T T T"
Zn 0.0000 0.0000 0.0000
Ir 0.0000 0.0000 3.8955
Pt 0.0000 0.0000 7.6658

Computed relative energies in units of kJ/mol of atoms: run P 8.4; run Q 7.0; run R 0.0

Run P
10
Lattice="7.2135 0.0000 0.0000 0.0000 7.2135 0.0000 0.0000 0.0000 2.8286" Properties=species:S:1:pos:R:3 comment="Zn2Ir2Pt PBE relaxed" density_g_cm3=16.03 pbc="T T T"
Zn 0.8782 2.7286 0.0000
Zn 2.7286 6.3353 0.0000
Zn 4.4849 0.8782 0.0000
Zn 6.3353 4.4849 0.0000
Ir 1.2798 4.8865 1.4143
Ir 2.3270 1.2798 1.4143
Ir 4.8865 5.9337 1.4143
Ir 5.9337 2.3270 1.4143
Pt 0.0000 0.0000 0.0000
Pt 3.6067 3.6067 0.0000

Run Q
10
Lattice="7.1768 0.0000 0.0000 0.0000 7.1768 0.0000 0.0000 0.0000 2.9326" Properties=species:S:1:pos:R:3 comment="Zn2Ir2Pt PBE relaxed" density_g_cm3=15.62 pbc="T T T"
Zn 1.2263 2.3621 0.0000
Zn 2.3621 5.9505 0.0000
Zn 4.8147 1.2263 0.0000
Zn 5.9505 4.8147 0.0000
Ir 0.9204 4.5088 1.4663
Ir 2.6680 0.9204 1.4663
Ir 4.5088 6.2564 1.4663
Ir 6.2564 2.6680 1.4663
Pt 0.0000 0.0000 1.4663
Pt 3.5884 3.5884 1.4663

Computed relative energies in units of kJ/mol of atoms: run P 2.6; run Q 0.0